Entry 1:
# Ba3SrSb2Br | Alexandria | PBE | optimized geometry
# - Crystal system: orthorhombic
# - Size of the total moment: 0.00 μB/cell
# - Uncorrected formation energy: -0.976 eV/atom
data_Ba3SrSb2Br
_chemical_formula_sum 'Ba6 Sr2 Sb4 Br2'
_symmetry_space_group_name_H-M 'I m m m'
_symmetry_Int_Tables_number 71
_symmetry_space_group_name_Hall '-I 2 2'
_cell_length_a 5.7297
_cell_length_b 5.9169
_cell_length_c 18.2635
_cell_angle_alpha 90.00
_cell_angle_beta 90.00
_cell_angle_gamma 90.00
loop_
_atom_site_label
_atom_site_fract_x
_atom_site_fract_y
_atom_site_fract_z
Ba1 0.0000 0.0000 0.0000
Ba2 0.0000 0.5000 0.1871
Sr1 0.0000 0.0000 0.5000
Sb1 0.0000 0.5000 0.3740
Br1 0.0000 0.5000 0.0000

Entry 2:
# Ba4SbTe2Br | Alexandria | PBE | optimized geometry
# - Crystal system: tetragonal
# - Size of the total moment: 0.00 μB/cell
# - Uncorrected formation energy: -1.655 eV/atom
data_Ba4SbTe2Br
_chemical_formula_sum 'Ba8 Sb2 Te4 Br2'
_symmetry_space_group_name_H-M 'I 4/m m m'
_symmetry_Int_Tables_number 139
_symmetry_space_group_name_Hall '-I 4 2'
_cell_length_a 7.0307
_cell_length_b 7.0307
_cell_length_c 14.2152
_cell_angle_alpha 90.00
_cell_angle_beta 90.00
_cell_angle_gamma 90.00
loop_
_atom_site_label
_atom_site_fract_x
_atom_site_fract_y
_atom_site_fract_z
Ba1 0.0000 0.0000 0.2394
Ba2 0.0000 0.5000 0.0000
Sb1 0.0000 0.0000 0.0000
Te1 0.0000 0.5000 0.2500
Br1 0.0000 0.0000 0.5000

Entry 3:
# BaSbTe2Br | Alexandria | PBE | optimized geometry
# - Crystal system: tetragonal
# - Size of the total moment: 0.00 μB/cell
# - Uncorrected formation energy: -0.135 eV/atom
data_BaSbTe2Br
_chemical_formula_sum 'Ba1 Sb1 Te2 Br1'
_symmetry_space_group_name_H-M 'P 4/m m m'
_symmetry_Int_Tables_number 123
_symmetry_space_group_name_Hall '-P 4 2'
_cell_length_a 5.8803
_cell_length_b 5.8803
_cell_length_c 5.4543
_cell_angle_alpha 90.00
_cell_angle_beta 90.00
_cell_angle_gamma 90.00
loop_
_atom_site_label
_atom_site_fract_x
_atom_site_fract_y
_atom_site_fract_z
Ba1 0.0000 0.0000 0.0000
Sb1 0.5000 0.5000 0.0000
Te1 0.0000 0.5000 0.5000
Br1 0.5000 0.5000 0.5000

Entry 4:
# BaSbTe2Br | Alexandria | PBE | optimized geometry
# - Crystal system: tetragonal
# - Size of the total moment: 2.51 μB/cell
# - Uncorrected formation energy: 0.513 eV/atom
data_BaSbTe2Br
_chemical_formula_sum 'Ba1 Sb1 Te2 Br1'
_symmetry_space_group_name_H-M 'P 4/m m m'
_symmetry_Int_Tables_number 123
_symmetry_space_group_name_Hall '-P 4 2'
_cell_length_a 6.5675
_cell_length_b 6.5675
_cell_length_c 6.7191
_cell_angle_alpha 90.00
_cell_angle_beta 90.00
_cell_angle_gamma 90.00
loop_
_atom_site_label
_atom_site_fract_x
_atom_site_fract_y
_atom_site_fract_z
Ba1 0.0000 0.0000 0.0000
Sb1 0.0000 0.0000 0.5000
Te1 0.0000 0.5000 0.0000
Br1 0.5000 0.5000 0.5000

Entry 5:
# Ba4SbTeBr2 | Alexandria | PBE | optimized geometry
# - Crystal system: monoclinic
# - Size of the total moment: 0.00 μB/cell
# - Uncorrected formation energy: -1.618 eV/atom
data_Ba4SbTeBr2
_chemical_formula_sum 'Ba4 Sb1 Te1 Br2'
_symmetry_space_group_name_H-M 'P 1 2/m 1'
_symmetry_Int_Tables_number 10
_cell_length_a 8.3438
_cell_length_b 4.9759
_cell_length_c 8.6086
_cell_angle_alpha 90.00
_cell_angle_beta 110.12
_cell_angle_gamma 90.00
loop_
_symmetry_equiv_pos_as_xyz
'x,y,z'
'-x,-y,-z'
'-x,y,-z'
'x,-y,z'
loop_
_atom_site_label
_atom_site_fract_x
_atom_site_fract_y
_atom_site_fract_z
Ba1 0.2388 0.0000 0.2409
Ba2 0.2406 0.5000 0.7525
Sb1 0.0000 0.5000 0.0000
Te1 0.0000 0.0000 0.5000
Br1 0.5000 0.0000 0.0000
Br2 0.5000 0.5000 0.5000

Entry 6:
# BaSb2TeBr | Alexandria | PBE | optimized geometry
# - Crystal system: tetragonal
# - Size of the total moment: 1.00 μB/cell
# - Uncorrected formation energy: 0.683 eV/atom
data_BaSb2TeBr
_chemical_formula_sum 'Ba1 Sb2 Te1 Br1'
_symmetry_space_group_name_H-M 'P 4/m m m'
_symmetry_Int_Tables_number 123
_symmetry_space_group_name_Hall '-P 4 2'
_cell_length_a 6.5742
_cell_length_b 6.5742
_cell_length_c 6.3894
_cell_angle_alpha 90.00
_cell_angle_beta 90.00
_cell_angle_gamma 90.00
loop_
_atom_site_label
_atom_site_fract_x
_atom_site_fract_y
_atom_site_fract_z
Ba1 0.0000 0.0000 0.0000
Sb1 0.0000 0.5000 0.0000
Te1 0.0000 0.0000 0.5000
Br1 0.5000 0.5000 0.5000